#i
DFT (GGA-PBE) results for an optimized crystal structure of TaTcTe2.

Calculated values
Space-group type   I-4m2

```
TaTcTe2
1.0
5.254 0.000 0.000
1.721 4.964 0.000
-3.487 -2.482 3.046
Ta Tc Te
1 1 2
direct
0.500 0.500 0.000
0.750 0.250 0.500
0.000 0.000 0.000
0.250 0.750 0.500
```

#ii
DFT (GGA-PBE) results for an optimized crystal structure of TaTcTe2.

Calculated values
Space-group type   Cm

```
TaTcTe2
1.0
4.781 -0.005 -0.001
3.514 3.241 -0.001
1.051 0.410 7.056
Ta Tc Te
1 1 2
direct
0.514 0.514 0.424
0.233 0.233 0.333
0.986 0.986 0.118
0.767 0.767 0.625
```

#iii
DFT (GGA-PBE) results for an optimized crystal structure of TaTcTe2.

Calculated values
Space-group type   Cmmm

```
TaTcTe2
1.0
3.232 0.003 0.000
-1.428 2.899 0.000
0.000 0.000 8.751
Ta Tc Te
1 1 2
direct
0.500 0.500 0.250
0.500 0.500 0.750
0.000 0.000 0.990
0.000 0.000 0.510
```

#iv
DFT (GGA-PBE) results for an optimized crystal structure of TaTcTe2.

Calculated values
Space-group type   R-3m

```
TaTcTe2
1.0
1.867 0.000 9.443
-0.934 1.617 9.443
-0.934 -1.617 9.443
Te Tc Ta
2 1 1
direct
0.902 0.902 0.902
0.098 0.098 0.098
0.500 0.500 0.500
0.000 0.000 0.000
```

Which one sits at the bottom of the stability order? #iii does.

#i
DFT (GGA-PBE) results for an optimized crystal structure of TaTcTe2.

Calculated values
Space-group type   Imm2

```
TaTcTe2
1.0
-4.353 -3.454 -4.403
0.741 -5.290 -4.663
0.731 2.808 6.469
Ta Tc Te
1 1 2
direct
0.422 0.422 0.000
0.272 0.772 0.500
0.035 0.035 0.000
0.771 0.271 0.500
```

#ii
DFT (GGA-PBE) results for an optimized crystal structure of TaTcTe2.

Calculated values
Space-group type   P4mm

```
TaTcTe2
1.0
-1.145 -2.364 -1.804
1.931 0.879 -2.378
6.376 -5.492 3.148
Ta Tc Te
1 1 2
direct
0.000 0.000 0.536
0.500 0.500 0.734
0.000 0.000 0.909
0.500 0.500 0.320
```

#iii
DFT (GGA-PBE) results for an optimized crystal structure of TaTcTe2.

Calculated values
Space-group type   Pm

```
TaTcTe2
1.0
-0.177 -1.722 3.786
-1.513 -2.992 -1.431
6.461 -2.811 -0.977
Ta Tc Te
1 1 2
direct
0.000 0.375 0.613
0.500 0.875 0.635
0.000 0.875 0.903
0.500 0.375 0.349
```

Which one sits at the bottom of the stability order? #i does.